First-principles (PBE-GGA) data for a relaxed structure of Ho6Ge2Te3P, as listed in Alexandria via LeMat-Bulk.

The space group is C2/m (No. 12) and the conventional cell measures 18.525, 4.187 and 8.533 Å, with angles of 90.00, 104.78 and 90.00 degrees. The distinct sites, in fractional coordinates, are Ho at (0.007, 0.000, 0.229), Ho at (0.158, 0.500, 0.099), Ho at (0.173, 0.500, 0.565), Ge at (0.166, 0.000, 0.331), Te at (0.000, 0.500, 0.500), Te at (0.166, 0.000, 0.834) and P at (0.000, 0.500, 0.000).

For the density of states at the Fermi level, the calculation gives 4.86 states/eV/cell. As for the uncorrected formation energy: -15.630 eV per formula unit. The total magnetization comes out at 0.000 μB per cell.

=====

First-principles (PBE-GGA) data for a relaxed structure of KNaS14, as listed in Alexandria via LeMat-Bulk.

The space group is C2/c (No. 15) and the conventional cell measures 19.690, 8.460 and 13.822 Å, with angles of 90.00, 116.75 and 90.00 degrees. The distinct sites, in fractional coordinates, are K at (0.000, 0.041, 0.250), Na at (0.000, 0.500, 0.000), S at (0.052, 0.348, 0.751), S at (0.072, 0.324, 0.411), S at (0.126, 0.485, 0.894), S at (0.141, 0.044, 0.649), S at (0.160, 0.177, 0.097), S at (0.174, 0.327, 0.223) and S at (0.220, 0.200, 0.646).

As for the uncorrected formation energy: -2.435 eV per formula unit. The total magnetization comes out at 0.000 μB per cell.

=====

First-principles (PBE-GGA) data for a relaxed structure of RbNaSn, as listed in Alexandria via LeMat-Bulk.

The space group is C2/m (No. 12) and the conventional cell measures 9.456, 5.458 and 11.054 Å, with angles of 90.00, 90.66 and 90.00 degrees. The distinct sites, in fractional coordinates, are Rb at (0.162, 0.000, 0.181), Na at (0.167, 0.000, 0.551) and Sn at (0.002, 0.500, 0.627).

For the density of states at the Fermi level, the calculation gives 2.16 states/eV/cell. As for the energy above the lowest structure with this stoichiometry: 0.00 eV/f.u. The energy of formation from the pure elements comes out at -0.166 eV per atom. The total magnetization comes out at 0.000 μB per cell.

=====

First-principles (PBE-GGA) data for a relaxed structure of Pm5GeCl5, as listed in Alexandria via LeMat-Bulk.

The space group is C2/m (No. 12) and the conventional cell measures 12.724, 5.731 and 8.212 Å, with angles of 90.00, 107.80 and 90.00 degrees. The distinct sites, in fractional coordinates, are Pm at (0.000, 0.000, 0.000), Pm at (0.161, 0.500, 0.315), Pm at (0.176, 0.500, 0.857), Ge at (0.000, 0.500, 0.000), Cl at (0.000, 0.500, 0.500), Cl at (0.150, 0.000, 0.797) and Cl at (0.157, 0.000, 0.350).

For the density of states at the Fermi level, the calculation gives 11.65 states/eV/cell. As for the uncorrected formation energy: -16.421 eV per formula unit. The total magnetization comes out at 0.000 μB per cell.

=====

First-principles (PBE-GGA) data for a relaxed structure of VZnH, as listed in Alexandria via LeMat-Bulk.

The space group is P1 (No. 1) and the conventional cell measures 2.648, 5.124 and 5.139 Å, with angles of 114.34, 93.12 and 101.24 degrees. The distinct sites, in fractional coordinates, are V at (0.000, 0.000, 0.000), V at (0.387, 0.479, 0.956), Zn at (0.589, 0.023, 0.543), Zn at (0.833, 0.480, 0.431), H at (0.386, 0.736, 0.779) and H at (0.468, 0.874, 0.168).

For the density of states at the Fermi level, the calculation gives 2.97 states/eV/cell. As for the energy above the lowest structure with this stoichiometry: 0.34 eV/f.u. The total magnetization comes out at 0.000 μB per cell.

=====

First-principles (PBE-GGA) data for a relaxed structure of HfHgPd3, as listed in Alexandria via LeMat-Bulk.

The space group is P-1 (No. 2) and the conventional cell measures 5.090, 5.434 and 7.246 Å, with angles of 68.25, 80.15 and 89.93 degrees. The distinct sites, in fractional coordinates, are Hf at (0.159, 0.313, 0.372), Hg at (0.222, 0.926, 0.145), Pd at (0.000, 0.500, 0.000), Pd at (0.308, 0.412, 0.678), Pd at (0.308, 0.910, 0.679) and Pd at (0.500, 0.500, 0.000).

For the density of states at the Fermi level, the calculation gives 3.94 states/eV/cell. As for the energy above the lowest structure with this stoichiometry: 0.59 eV/f.u. The energy of formation from the pure elements comes out at -0.384 eV per atom. The total magnetization comes out at 0.000 μB per cell.

=====

First-principles (PBE-GGA) data for a relaxed structure of Tl3AgGe, as listed in Alexandria via LeMat-Bulk.

The space group is Pm-3m (No. 221) and the conventional cell measures 5.574, 5.574 and 5.574 Å, with angles of 90.00, 90.00 and 90.00 degrees. The distinct sites, in fractional coordinates, are Tl at (0.000, 0.000, 0.500), Ag at (0.500, 0.500, 0.500) and Ge at (0.000, 0.000, 0.000).

For the density of states at the Fermi level, the calculation gives 2.73 states/eV/cell. As for the energy above the lowest structure with this stoichiometry: 0.00 eV/f.u. The energy of formation from the pure elements comes out at 0.459 eV per atom. The total magnetization comes out at 0.000 μB per cell.

=====

First-principles (PBE-GGA) data for a relaxed structure of PmPdAu4, as listed in Alexandria via LeMat-Bulk.

The space group is C2/c (No. 15) and the conventional cell measures 5.687, 16.906 and 4.894 Å, with angles of 90.00, 90.18 and 90.00 degrees. The distinct sites, in fractional coordinates, are Pm at (0.000, 0.122, 0.250), Pd at (0.000, 0.369, 0.750), Au at (0.241, 0.458, 0.249) and Au at (0.247, 0.292, 0.250).

For the density of states at the Fermi level, the calculation gives 6.70 states/eV/cell. As for the energy above the lowest structure with this stoichiometry: 0.00 eV/f.u. The energy of formation from the pure elements comes out at -0.487 eV per atom. The total magnetization comes out at 0.000 μB per cell.

=====

First-principles (PBE-GGA) data for a relaxed structure of Li5Zn2Rh, as listed in Alexandria via LeMat-Bulk.

The space group is Pbam (No. 55) and the conventional cell measures 5.528, 11.022 and 3.905 Å, with angles of 90.00, 90.00 and 90.00 degrees. The distinct sites, in fractional coordinates, are Li at (0.000, 0.000, 0.000), Li at (0.039, 0.252, 0.000), Li at (0.239, 0.878, 0.500), Zn at (0.209, 0.615, 0.500) and Rh at (0.000, 0.500, 0.000).

For the density of states at the Fermi level, the calculation gives 6.66 states/eV/cell. The energy of formation from the pure elements comes out at -0.195 eV per atom. The total magnetization comes out at 0.000 μB per cell.

=====

First-principles (PBE-GGA) data for a relaxed structure of SrCa2InO, as listed in Alexandria via LeMat-Bulk.

The space group is P4/mmm (No. 123) and the conventional cell measures 4.905, 4.905 and 5.254 Å, with angles of 90.00, 90.00 and 90.00 degrees. The distinct sites, in fractional coordinates, are Sr at (0.000, 0.000, 0.000), Ca at (0.000, 0.500, 0.500), In at (0.500, 0.500, 0.000) and O at (0.000, 0.000, 0.500).

For the density of states at the Fermi level, the calculation gives 4.16 states/eV/cell. As for the uncorrected formation energy: -6.790 eV per formula unit. The total magnetization comes out at 0.000 μB per cell.

=====

First-principles (PBE-GGA) data for a relaxed structure of YMn2Hg, as listed in Alexandria via LeMat-Bulk.

The space group is P2/m (No. 10) and the conventional cell measures 3.344, 4.700 and 5.530 Å, with angles of 90.00, 90.10 and 90.00 degrees. The distinct sites, in fractional coordinates, are Y at (0.000, 0.000, 0.000), Mn at (0.499, 0.500, 0.764) and Hg at (0.500, 0.000, 0.500).

For the density of states at the Fermi level, the calculation gives 3.61 states/eV/cell. The energy of formation from the pure elements comes out at 0.285 eV per atom. The total magnetization comes out at 7.115 μB per cell.

=====

First-principles (PBE-GGA) data for a relaxed structure of KLiCe2Br8, as listed in Alexandria via LeMat-Bulk.

The space group is P2/m (No. 10) and the conventional cell measures 6.943, 9.016 and 7.206 Å, with angles of 90.00, 95.97 and 90.00 degrees. The distinct sites, in fractional coordinates, are K at (0.000, 0.000, 0.000), Li at (0.000, 0.500, 0.000), Ce at (0.500, 0.258, 0.500), Br at (0.232, 0.284, 0.170), Br at (0.279, 0.500, 0.656) and Br at (0.288, 0.000, 0.643).

For the density of states at the Fermi level, the calculation gives 15.93 states/eV/cell. As for the uncorrected formation energy: -20.688 eV per formula unit. The total magnetization comes out at 2.000 μB per cell.

=====

First-principles (PBE-GGA) data for a relaxed structure of AlTl3Mo, as listed in Alexandria via LeMat-Bulk.

The space group is Pm-3m (No. 221) and the conventional cell measures 5.391, 5.391 and 5.391 Å, with angles of 90.00, 90.00 and 90.00 degrees. The distinct sites, in fractional coordinates, are Al at (0.000, 0.000, 0.000), Tl at (0.000, 0.500, 0.500) and Mo at (0.500, 0.500, 0.500).

For the density of states at the Fermi level, the calculation gives 3.22 states/eV/cell. As for the energy above the lowest structure with this stoichiometry: 0.00 eV/f.u. The energy of formation from the pure elements comes out at 0.798 eV per atom. The total magnetization comes out at 0.000 μB per cell.

=====

First-principles (PBE-GGA) data for a relaxed structure of YNpAs2Rh5, as listed in Alexandria via LeMat-Bulk.

The space group is P4/mmm (No. 123) and the conventional cell measures 3.965, 3.965 and 11.469 Å, with angles of 90.00, 90.00 and 90.00 degrees. The distinct sites, in fractional coordinates, are Y at (0.000, 0.000, 0.000), Np at (0.500, 0.500, 0.500), As at (0.500, 0.500, 0.207), Rh at (0.000, 0.500, 0.341) and Rh at (0.500, 0.500, 0.000).

For the density of states at the Fermi level, the calculation gives 9.88 states/eV/cell. The energy of formation from the pure elements comes out at -0.333 eV per atom. The total magnetization comes out at 1.938 μB per cell.

=====

First-principles (PBE-GGA) data for a relaxed structure of LaMg2CrN4, as listed in Alexandria via LeMat-Bulk.

The space group is Pmn2_1 (No. 31) and the conventional cell measures 7.073, 5.865 and 5.456 Å, with angles of 90.00, 90.00 and 90.00 degrees. The distinct sites, in fractional coordinates, are La at (0.000, 0.144, 0.000), Mg at (0.244, 0.341, 0.514), Cr at (0.000, 0.807, 0.522), N at (0.000, 0.118, 0.478), N at (0.000, 0.766, 0.847) and N at (0.207, 0.676, 0.393).

For the density of states at the Fermi level, the calculation gives 6.67 states/eV/cell. As for the uncorrected formation energy: -6.890 eV per formula unit. The total magnetization comes out at 2.000 μB per cell.

=====

First-principles (PBE-GGA) data for a relaxed structure of CaMg2Co2, as listed in Alexandria via LeMat-Bulk.

The space group is P4/mbm (No. 127) and the conventional cell measures 7.835, 7.835 and 2.851 Å, with angles of 90.00, 90.00 and 90.00 degrees. The distinct sites, in fractional coordinates, are Ca at (0.000, 0.000, 0.000), Mg at (0.128, 0.372, 0.000) and Co at (0.167, 0.667, 0.500).

For the density of states at the Fermi level, the calculation gives 9.96 states/eV/cell. As for the energy above the lowest structure with this stoichiometry: 0.34 eV/f.u. The energy of formation from the pure elements comes out at 0.270 eV per atom. The total magnetization comes out at 3.140 μB per cell.

=====

First-principles (PBE-GGA) data for a relaxed structure of Pm2Tm3Al3, as listed in Alexandria via LeMat-Bulk.

The space group is Immm (No. 71) and the conventional cell measures 3.681, 5.089 and 21.727 Å, with angles of 90.00, 90.00 and 90.00 degrees. The distinct sites, in fractional coordinates, are Pm at (0.000, 0.000, 0.229), Tm at (0.000, 0.000, 0.000), Tm at (0.000, 0.500, 0.117), Al at (0.000, 0.000, 0.500) and Al at (0.000, 0.500, 0.388).

For the density of states at the Fermi level, the calculation gives 9.46 states/eV/cell. As for the energy above the lowest structure with this stoichiometry: 0.00 eV/f.u. The energy of formation from the pure elements comes out at -0.269 eV per atom. The total magnetization comes out at 0.000 μB per cell.